# SnCl2O PBE relaxed
data_SnCl2O
_symmetry_space_group_name_H-M 'P 1'
_symmetry_Int_Tables_number 1
_cell_length_a 4.897
_cell_length_b 4.897
_cell_length_c 9.121
_cell_angle_alpha 74.43
_cell_angle_beta 74.43
_cell_angle_gamma 90.00
loop_
_symmetry_equiv_pos_as_xyz
'x,y,z'
loop_
_atom_site_label
_atom_site_type_symbol
_atom_site_fract_x
_atom_site_fract_y
_atom_site_fract_z
Sn1 Sn 0.000 0.000 0.000
Sn2 Sn 0.750 0.250 0.500
O1 O 0.500 0.500 0.000
O2 O 0.250 0.750 0.500
Cl1 Cl 0.616 0.125 0.250
Cl2 Cl 0.134 0.625 0.250
Cl3 Cl 0.375 0.384 0.750
Cl4 Cl 0.875 0.866 0.750
# - Energy above the most stable polymorph in this dataset: 74 meV per atom
# - Formation energy without anion corrections: 83.6 meV/atom
# - Space group: No. 122



# PuCd4Pb PBE relaxed
data_PuCd4Pb
_symmetry_space_group_name_H-M 'P 1'
_symmetry_Int_Tables_number 1
_cell_length_a 3.216
_cell_length_b 5.198
_cell_length_c 9.077
_cell_angle_alpha 90.00
_cell_angle_beta 90.00
_cell_angle_gamma 90.00
loop_
_symmetry_equiv_pos_as_xyz
'x,y,z'
loop_
_atom_site_label
_atom_site_type_symbol
_atom_site_fract_x
_atom_site_fract_y
_atom_site_fract_z
Pu1 Pu 0.500 0.000 0.000
Cd1 Cd 0.999 0.000 0.671
Cd2 Cd 0.001 0.500 0.835
Cd3 Cd 0.001 0.000 0.329
Cd4 Cd 0.999 0.500 0.165
Pb1 Pb 0.500 0.500 0.500
# - Energy above the most stable polymorph in this dataset: 0 meV per atom
# - Space group: No. 47



# Sc2TaTiCu PBE relaxed
data_Sc2TaTiCu
_symmetry_space_group_name_H-M 'P 1'
_symmetry_Int_Tables_number 1
_cell_length_a 4.924
_cell_length_b 4.713
_cell_length_c 4.924
_cell_angle_alpha 90.00
_cell_angle_beta 90.00
_cell_angle_gamma 90.00
loop_
_symmetry_equiv_pos_as_xyz
'x,y,z'
loop_
_atom_site_label
_atom_site_type_symbol
_atom_site_fract_x
_atom_site_fract_y
_atom_site_fract_z
Sc1 Sc 0.000 0.000 0.500
Sc2 Sc 0.500 0.000 0.000
Ti1 Ti 0.000 0.000 0.000
Cu1 Cu 0.500 0.500 0.500
Ta1 Ta 0.000 0.500 0.000
# - Space group: No. 123



# Pr2Sm6Y3Mg PBE relaxed
data_Pr2Sm6Y3Mg
_symmetry_space_group_name_H-M 'P 1'
_symmetry_Int_Tables_number 1
_cell_length_a 6.238
_cell_length_b 6.238
_cell_length_c 11.909
_cell_angle_alpha 95.03
_cell_angle_beta 95.03
_cell_angle_gamma 120.03
loop_
_symmetry_equiv_pos_as_xyz
'x,y,z'
loop_
_atom_site_label
_atom_site_type_symbol
_atom_site_fract_x
_atom_site_fract_y
_atom_site_fract_z
Pr1 Pr 0.333 0.667 0.000
Pr2 Pr 0.667 0.333 0.000
Sm1 Sm 0.917 0.586 0.748
Sm2 Sm 0.752 0.752 0.253
Sm3 Sm 0.083 0.414 0.252
Sm4 Sm 0.586 0.917 0.748
Sm5 Sm 0.248 0.248 0.747
Sm6 Sm 0.414 0.083 0.252
Y1 Y 0.166 0.834 0.500
Y2 Y 0.834 0.166 0.500
Y3 Y 0.500 0.500 0.500
Mg1 Mg 0.000 0.000 0.000
# - Space group: No. 12



# BaPaBeO5 PBE relaxed
data_BaPaBeO5
_symmetry_space_group_name_H-M 'P 1'
_symmetry_Int_Tables_number 1
_cell_length_a 5.928
_cell_length_b 5.928
_cell_length_c 8.041
_cell_angle_alpha 102.97
_cell_angle_beta 102.97
_cell_angle_gamma 106.83
loop_
_symmetry_equiv_pos_as_xyz
'x,y,z'
loop_
_atom_site_label
_atom_site_type_symbol
_atom_site_fract_x
_atom_site_fract_y
_atom_site_fract_z
Ba1 Ba 0.342 0.658 0.250
Ba2 Ba 0.658 0.342 0.750
Pa1 Pa 0.000 0.000 0.500
Pa2 Pa 0.000 0.000 0.000
Be1 Be 0.690 0.310 0.250
Be2 Be 0.310 0.690 0.750
O1 O 0.071 0.929 0.250
O2 O 0.929 0.071 0.750
O3 O 0.876 0.291 0.118
O4 O 0.124 0.709 0.882
O5 O 0.709 0.124 0.382
O6 O 0.291 0.876 0.618
O7 O 0.767 0.605 0.388
O8 O 0.233 0.395 0.612
O9 O 0.395 0.233 0.112
O10 O 0.605 0.767 0.888
# - Formation energy without anion corrections: -2793.2 meV/atom
# - Space group: No. 15



# Ba3Tl3Pd2 PBE relaxed
data_Ba3Tl3Pd2
_symmetry_space_group_name_H-M 'P 1'
_symmetry_Int_Tables_number 1
_cell_length_a 4.671
_cell_length_b 6.520
_cell_length_c 18.224
_cell_angle_alpha 90.00
_cell_angle_beta 90.00
_cell_angle_gamma 110.99
loop_
_symmetry_equiv_pos_as_xyz
'x,y,z'
loop_
_atom_site_label
_atom_site_type_symbol
_atom_site_fract_x
_atom_site_fract_y
_atom_site_fract_z
Ba1 Ba 0.941 0.882 0.395
Ba2 Ba 0.059 0.118 0.895
Ba3 Ba 0.941 0.882 0.105
Ba4 Ba 0.059 0.118 0.605
Ba5 Ba 0.658 0.316 0.250
Ba6 Ba 0.342 0.684 0.750
Tl1 Tl 0.659 0.318 0.463
Tl2 Tl 0.341 0.682 0.963
Tl3 Tl 0.659 0.318 0.037
Tl4 Tl 0.341 0.682 0.537
Tl5 Tl 0.366 0.732 0.250
Tl6 Tl 0.634 0.268 0.750
Pd1 Pd 0.763 0.526 0.885
Pd2 Pd 0.237 0.474 0.385
Pd3 Pd 0.763 0.526 0.615
Pd4 Pd 0.237 0.474 0.115
# - Space group: No. 63



# CsZn2Pb2 PBE relaxed
data_CsZn2Pb2
_symmetry_space_group_name_H-M 'P 1'
_symmetry_Int_Tables_number 1
_cell_length_a 5.075
_cell_length_b 5.075
_cell_length_c 7.075
_cell_angle_alpha 68.98
_cell_angle_beta 68.98
_cell_angle_gamma 90.00
loop_
_symmetry_equiv_pos_as_xyz
'x,y,z'
loop_
_atom_site_label
_atom_site_type_symbol
_atom_site_fract_x
_atom_site_fract_y
_atom_site_fract_z
Pb1 Pb 0.368 0.368 0.264
Pb2 Pb 0.632 0.632 0.736
Cs1 Cs 0.000 0.000 0.000
Zn1 Zn 0.750 0.250 0.500
Zn2 Zn 0.250 0.750 0.500
# - Energy above the most stable polymorph in this dataset: 17 meV per atom
# - Space group: No. 139



# Sr2HgMo PBE relaxed
data_Sr2HgMo
_symmetry_space_group_name_H-M 'P 1'
_symmetry_Int_Tables_number 1
_cell_length_a 4.812
_cell_length_b 4.604
_cell_length_c 6.398
_cell_angle_alpha 68.90
_cell_angle_beta 90.00
_cell_angle_gamma 90.00
loop_
_symmetry_equiv_pos_as_xyz
'x,y,z'
loop_
_atom_site_label
_atom_site_type_symbol
_atom_site_fract_x
_atom_site_fract_y
_atom_site_fract_z
Hg1 Hg 0.000 0.687 0.500
Mo1 Mo 0.500 0.566 0.744
Sr1 Sr 0.000 0.977 0.920
Sr2 Sr 0.500 0.270 0.336
# - Space group: No. 38



Computed values of electronic total energy (unit: eV/atom) for the preceding records, in sequence: -3.080 -3.648 -6.222 -4.892 -7.785 -3.365 -2.154 -3.175.
Computed values of spin magnetization (unit: μB per cell) for the preceding records, in sequence: 4.00 6.00 0.51 0.00 1.78 0.00 0.00 2.97.